No. 1
# Cd2BrCl

Cd2BrCl after structural relaxation (PBE, Alexandria via LeMat-Bulk).

Energy relative to the elements, uncorrected   -0.40 eV per atom
Offset from the most stable computed form   0.231 eV/atom
Size of the total moment   0.00 μB/atom

Cell and atoms, written as CIF:
```
data_Cd2BrCl
_chemical_formula_sum 'Cd2 Br1 Cl1'
_symmetry_space_group_name_H-M 'P 4 m m'
_symmetry_Int_Tables_number 99
_symmetry_space_group_name_Hall 'P 4 -2'
_cell_length_a 3.4903
_cell_length_b 3.4903
_cell_length_c 8.6876
_cell_angle_alpha 90.00
_cell_angle_beta 90.00
_cell_angle_gamma 90.00
loop_
_atom_site_label
_atom_site_fract_x
_atom_site_fract_y
_atom_site_fract_z
Cd1 0.0000 0.0000 0.0000
Cd2 0.5000 0.5000 0.2605
Br1 0.5000 0.5000 0.8113
Cl1 0.0000 0.0000 0.4290
```

---

No. 2
# Cd2BrCl

Cd2BrCl after structural relaxation (PBE, Alexandria via LeMat-Bulk).

Energy relative to the elements, uncorrected   -0.32 eV per atom
Offset from the most stable computed form   0.311 eV/atom
Size of the total moment   0.00 μB/atom

Cell and atoms, written as CIF:
```
data_Cd2BrCl
_chemical_formula_sum 'Cd4 Br2 Cl2'
_symmetry_space_group_name_H-M 'C m m m'
_symmetry_Int_Tables_number 65
_symmetry_space_group_name_Hall '-C 2 2'
_cell_length_a 4.1710
_cell_length_b 6.9564
_cell_length_c 8.1447
_cell_angle_alpha 90.00
_cell_angle_beta 90.00
_cell_angle_gamma 90.00
loop_
_atom_site_label
_atom_site_fract_x
_atom_site_fract_y
_atom_site_fract_z
Cd1 0.0000 0.0000 0.2432
Br1 0.0000 0.5000 0.5000
Cl1 0.0000 0.5000 0.0000
```

---

No. 3
# Cd2BrCl3

Cd2BrCl3 after structural relaxation (PBE, Alexandria via LeMat-Bulk).

Energy relative to the elements, uncorrected   -1.03 eV per atom
Size of the total moment   0.00 μB/atom

Cell and atoms, written as CIF:
```
data_Cd2BrCl3
_chemical_formula_sum 'Cd8 Br4 Cl12'
_symmetry_space_group_name_H-M 'C 1 2/m 1'
_symmetry_Int_Tables_number 12
_symmetry_space_group_name_Hall '-C 2y'
_cell_length_a 17.1210
_cell_length_b 3.9217
_cell_length_c 13.4079
_cell_angle_alpha 90.00
_cell_angle_beta 128.48
_cell_angle_gamma 90.00
loop_
_atom_site_label
_atom_site_fract_x
_atom_site_fract_y
_atom_site_fract_z
Cd1 0.1253 0.0000 0.3754
Cd2 0.1259 0.5000 0.8768
Br1 0.0664 0.5000 0.1916
Cl1 0.0628 0.0000 0.7056
Cl2 0.1842 0.5000 0.5427
Cl3 0.1891 0.0000 0.0487
```

---

No. 4
# CdBrCl2

CdBrCl2 after structural relaxation (PBE, Alexandria via LeMat-Bulk).

Energy relative to the elements, uncorrected   -0.57 eV per atom
Offset from the most stable computed form   0.203 eV/atom
Size of the total moment   0.25 μB/atom

Cell and atoms, written as CIF:
```
data_CdBrCl2
_chemical_formula_sum 'Cd3 Br3 Cl6'
_symmetry_space_group_name_H-M 'R -3 m'
_symmetry_Int_Tables_number 166
_symmetry_space_group_name_Hall '-R 3 2"'
_cell_length_a 3.7835
_cell_length_b 3.7835
_cell_length_c 33.9392
_cell_angle_alpha 90.00
_cell_angle_beta 90.00
_cell_angle_gamma 120.00
loop_
_atom_site_label
_atom_site_fract_x
_atom_site_fract_y
_atom_site_fract_z
Cd1 0.0000 0.0000 0.0000
Br1 0.0000 0.0000 0.5000
Cl1 0.0000 0.0000 0.3777
```

---

No. 5
# Cd2BrCl

Cd2BrCl after structural relaxation (PBE, Alexandria via LeMat-Bulk).

Energy relative to the elements, uncorrected   -0.53 eV per atom
Offset from the most stable computed form   0.099 eV/atom
Size of the total moment   0.00 μB/atom

Cell and atoms, written as CIF:
```
data_Cd2BrCl
_chemical_formula_sum 'Cd2 Br1 Cl1'
_symmetry_space_group_name_H-M 'P 1 m 1'
_symmetry_Int_Tables_number 6
_symmetry_space_group_name_Hall 'P -2y'
_cell_length_a 3.7575
_cell_length_b 3.5007
_cell_length_c 8.6319
_cell_angle_alpha 90.00
_cell_angle_beta 102.39
_cell_angle_gamma 90.00
loop_
_atom_site_label
_atom_site_fract_x
_atom_site_fract_y
_atom_site_fract_z
Cd1 0.0000 0.0000 0.0000
Cd2 0.1323 0.5000 0.2830
Br1 0.7205 0.0000 0.4578
Cl1 0.4196 0.5000 0.8475
```

---

No. 6
# CdBrCl2

CdBrCl2 after structural relaxation (PBE, Alexandria via LeMat-Bulk).

Energy relative to the elements, uncorrected   -0.57 eV per atom
Offset from the most stable computed form   0.205 eV/atom
Size of the total moment   0.26 μB/atom

Cell and atoms, written as CIF:
```
data_CdBrCl2
_chemical_formula_sum 'Cd3 Br3 Cl6'
_symmetry_space_group_name_H-M 'R -3 m'
_symmetry_Int_Tables_number 166
_symmetry_space_group_name_Hall '-R 3 2"'
_cell_length_a 3.7966
_cell_length_b 3.7966
_cell_length_c 31.0795
_cell_angle_alpha 90.00
_cell_angle_beta 90.00
_cell_angle_gamma 120.00
loop_
_atom_site_label
_atom_site_fract_x
_atom_site_fract_y
_atom_site_fract_z
Cd1 0.0000 0.0000 0.0000
Br1 0.0000 0.0000 0.5000
Cl1 0.0000 0.0000 0.2851
```